Arrangement one

{"formula": "Tb8HoEr6", "functional": "PBE-GGA", "state": "relaxed", "lattice_angstrom": [[4.4814, 2.5873, 6.8221], [-4.4814, 2.5873, 6.8221], [0.0000, -5.1747, 6.8221]], "species": ["Tb", "Tb", "Tb", "Tb", "Tb", "Tb", "Tb", "Tb", "Ho", "Er", "Er", "Er", "Er", "Er", "Er"], "fractional_positions": [[0.0769, 0.0769, 0.0769], [0.2202, 0.6106, 0.2457], [0.2457, 0.2202, 0.6106], [0.3894, 0.7543, 0.7798], [0.6106, 0.2457, 0.2202], [0.7543, 0.7798, 0.3894], [0.7798, 0.3894, 0.7543], [0.9231, 0.9231, 0.9231], [0.5000, 0.5000, 0.5000], [0.0400, 0.6046, 0.7357], [0.2643, 0.9600, 0.3954], [0.3954, 0.2643, 0.9600], [0.6046, 0.7357, 0.0400], [0.7357, 0.0400, 0.6046], [0.9600, 0.3954, 0.2643]], "crystal_system": "trigonal", "vol_a3_per_fu": 474.6, "n_ef_per_ev_atom": 1.554}

---

Arrangement two

{"formula": "Tb8HoEr6", "functional": "PBE-GGA", "state": "relaxed", "lattice_angstrom": [[9.7627, 0.0000, 0.0000], [-4.8813, 8.4547, 0.0000], [0.0000, 0.0000, 5.7662]], "species": ["Tb", "Tb", "Tb", "Tb", "Tb", "Tb", "Tb", "Tb", "Ho", "Er", "Er", "Er", "Er", "Er", "Er"], "fractional_positions": [[0.0911, 0.4664, 0.2656], [0.3333, 0.6667, 0.7758], [0.3754, 0.9089, 0.2656], [0.4664, 0.3754, 0.7344], [0.5336, 0.6246, 0.2656], [0.6246, 0.0911, 0.7344], [0.6667, 0.3333, 0.2242], [0.9089, 0.5336, 0.7344], [0.0000, 0.0000, 0.5000], [0.0499, 0.2737, 0.7783], [0.2237, 0.9501, 0.7783], [0.2737, 0.2237, 0.2217], [0.7263, 0.7763, 0.7783], [0.7763, 0.0499, 0.2217], [0.9501, 0.7263, 0.2217]], "crystal_system": "trigonal", "vol_a3_per_fu": 476.0, "n_ef_per_ev_atom": 1.526}

---

Which structure wins on stability? arrangement one wins.

---

Arrangement one

{"formula": "Tb3Ho3Er2", "functional": "PBE-GGA", "state": "relaxed", "lattice_angstrom": [[15.9941, 0.0000, 0.0000], [0.0000, 5.6604, 0.0000], [-2.1786, 0.0000, 5.5425]], "species": ["Tb", "Tb", "Tb", "Tb", "Tb", "Tb", "Ho", "Ho", "Ho", "Ho", "Ho", "Ho", "Er", "Er", "Er", "Er"], "fractional_positions": [[0.0000, 0.0000, 0.0000], [0.1325, 0.0000, 0.6920], [0.3675, 0.5000, 0.3080], [0.5000, 0.5000, 0.0000], [0.6325, 0.5000, 0.6920], [0.8675, 0.0000, 0.3080], [0.0000, 0.5000, 0.5000], [0.1320, 0.5000, 0.0761], [0.3680, 0.0000, 0.9239], [0.5000, 0.0000, 0.5000], [0.6320, 0.0000, 0.0761], [0.8680, 0.5000, 0.9239], [0.2499, 0.0000, 0.3175], [0.2501, 0.5000, 0.6825], [0.7501, 0.0000, 0.6825], [0.7499, 0.5000, 0.3175]], "crystal_system": "monoclinic", "vol_a3_per_fu": 250.9, "n_ef_per_ev_atom": 1.882}

---

Arrangement two

{"formula": "Tb3Ho3Er2", "functional": "PBE-GGA", "state": "relaxed", "lattice_angstrom": [[4.9847, 0.0000, 0.0000], [0.0000, 4.9854, 0.0000], [0.0000, 0.0000, 19.9513]], "species": ["Tb", "Tb", "Tb", "Tb", "Tb", "Tb", "Ho", "Ho", "Ho", "Ho", "Ho", "Ho", "Er", "Er", "Er", "Er"], "fractional_positions": [[0.0000, 0.0000, 0.0000], [0.0000, 0.5000, 0.1253], [0.0000, 0.5000, 0.8747], [0.5000, 0.0000, 0.3747], [0.5000, 0.0000, 0.6253], [0.5000, 0.5000, 0.5000], [0.0000, 0.0000, 0.5000], [0.0000, 0.5000, 0.3744], [0.0000, 0.5000, 0.6256], [0.5000, 0.0000, 0.1256], [0.5000, 0.0000, 0.8744], [0.5000, 0.5000, 0.0000], [0.0000, 0.0000, 0.2498], [0.0000, 0.0000, 0.7502], [0.5000, 0.5000, 0.2502], [0.5000, 0.5000, 0.7498]], "crystal_system": "orthorhombic", "vol_a3_per_fu": 247.9, "n_ef_per_ev_atom": 1.371}

---

Which structure wins on stability? arrangement two wins.

---

Arrangement one

{"formula": "TbHo8Er2", "functional": "PBE-GGA", "state": "relaxed", "lattice_angstrom": [[9.4206, -3.4318, 0.0000], [9.4206, 3.4318, 0.0000], [-0.2793, 0.0000, 5.4950]], "species": ["Tb", "Ho", "Ho", "Ho", "Ho", "Ho", "Ho", "Ho", "Ho", "Er", "Er"], "fractional_positions": [[0.0000, 0.0000, 0.0000], [0.1334, 0.6016, 0.2683], [0.1877, 0.1877, 0.2325], [0.3984, 0.8666, 0.7317], [0.4533, 0.4533, 0.7638], [0.5467, 0.5467, 0.2362], [0.6016, 0.1334, 0.2683], [0.8123, 0.8123, 0.7675], [0.8666, 0.3984, 0.7317], [0.2841, 0.2841, 0.7491], [0.7159, 0.7159, 0.2509]], "crystal_system": "monoclinic", "vol_a3_per_fu": 355.3, "n_ef_per_ev_atom": 1.653}

---

Arrangement two

{"formula": "TbHo8Er2", "functional": "PBE-GGA", "state": "relaxed", "lattice_angstrom": [[8.1782, -3.2865, 0.0000], [8.1782, 3.2865, 0.0000], [-1.1903, 0.0000, 6.4599]], "species": ["Tb", "Ho", "Ho", "Ho", "Ho", "Ho", "Ho", "Ho", "Ho", "Er", "Er"], "fractional_positions": [[0.0000, 0.0000, 0.0000], [0.1741, 0.6487, 0.5936], [0.2435, 0.2435, 0.3112], [0.3513, 0.8259, 0.4064], [0.4106, 0.4106, 0.0944], [0.5894, 0.5894, 0.9056], [0.6487, 0.1741, 0.5936], [0.7565, 0.7565, 0.6888], [0.8259, 0.3513, 0.4064], [0.2032, 0.2032, 0.8009], [0.7968, 0.7968, 0.1991]], "crystal_system": "monoclinic", "vol_a3_per_fu": 347.2, "n_ef_per_ev_atom": 1.578}

---

Which structure wins on stability? arrangement one wins.

---

Arrangement one

{"formula": "Tb2Ho3Er8", "functional": "PBE-GGA", "state": "relaxed", "lattice_angstrom": [[7.3097, -4.5182, 0.0000], [7.3097, 4.5182, 0.0000], [-2.1498, 0.0000, 6.3913]], "species": ["Tb", "Tb", "Ho", "Ho", "Ho", "Er", "Er", "Er", "Er", "Er", "Er", "Er", "Er"], "fractional_positions": [[0.2133, 0.2133, 0.4215], [0.7867, 0.7867, 0.5785], [0.0000, 0.0000, 0.0000], [0.1728, 0.8272, 0.5000], [0.8272, 0.1728, 0.5000], [0.1905, 0.1905, 0.8931], [0.2015, 0.5643, 0.8218], [0.4164, 0.4164, 0.2737], [0.4357, 0.7985, 0.1782], [0.5643, 0.2015, 0.8218], [0.5836, 0.5836, 0.7263], [0.7985, 0.4357, 0.1782], [0.8095, 0.8095, 0.1069]], "crystal_system": "monoclinic", "vol_a3_per_fu": 422.2, "n_ef_per_ev_atom": 1.226}

---

Arrangement two

{"formula": "Tb2Ho3Er8", "functional": "PBE-GGA", "state": "relaxed", "lattice_angstrom": [[10.1089, -3.7555, 0.0000], [10.1089, 3.7555, 0.0000], [-0.0015, 0.0000, 5.5197]], "species": ["Tb", "Tb", "Ho", "Ho", "Ho", "Er", "Er", "Er", "Er", "Er", "Er", "Er", "Er"], "fractional_positions": [[0.2412, 0.2412, 0.9996], [0.7588, 0.7588, 0.0004], [0.0000, 0.0000, 0.0000], [0.2844, 0.7156, 0.5000], [0.7156, 0.2844, 0.5000], [0.1321, 0.1321, 0.5000], [0.1788, 0.6041, 0.9999], [0.3346, 0.3346, 0.4997], [0.3959, 0.8212, 0.0001], [0.6041, 0.1788, 0.9999], [0.6654, 0.6654, 0.5003], [0.8212, 0.3959, 0.0001], [0.8679, 0.8679, 0.5000]], "crystal_system": "monoclinic", "vol_a3_per_fu": 419.1, "n_ef_per_ev_atom": 1.741}

---

Which structure wins on stability? arrangement one wins.

---

Arrangement one

{"formula": "TbHo2Er3", "functional": "PBE-GGA", "state": "relaxed", "lattice_angstrom": [[8.6091, -3.5124, 0.0000], [8.6091, 3.5124, 0.0000], [-0.0029, 0.0000, 6.0790]], "species": ["Tb", "Tb", "Ho", "Ho", "Ho", "Ho", "Er", "Er", "Er", "Er", "Er", "Er"], "fractional_positions": [[0.1252, 0.8748, 0.7500], [0.8748, 0.1252, 0.2500], [0.2082, 0.4581, 0.5829], [0.4581, 0.2082, 0.0829], [0.5419, 0.7918, 0.9171], [0.7918, 0.5419, 0.4171], [0.0420, 0.2920, 0.9166], [0.2920, 0.0420, 0.4166], [0.3752, 0.6248, 0.2500], [0.6248, 0.3752, 0.7500], [0.7080, 0.9580, 0.5834], [0.9580, 0.7080, 0.0834]], "crystal_system": "monoclinic", "vol_a3_per_fu": 183.8, "n_ef_per_ev_atom": 1.386}

---

Arrangement two

{"formula": "TbHo2Er3", "functional": "PBE-GGA", "state": "relaxed", "lattice_angstrom": [[10.8621, -1.7992, 0.0000], [10.8621, 1.7992, 0.0000], [-5.6892, 0.0000, 9.5514]], "species": ["Tb", "Tb", "Ho", "Ho", "Ho", "Ho", "Er", "Er", "Er", "Er", "Er", "Er"], "fractional_positions": [[0.1115, 0.1115, 0.4862], [0.8885, 0.8885, 0.5138], [0.2227, 0.2227, 0.8478], [0.4443, 0.4443, 0.3178], [0.5557, 0.5557, 0.6822], [0.7773, 0.7773, 0.1522], [0.1111, 0.1111, 0.9868], [0.2217, 0.2217, 0.3466], [0.4447, 0.4447, 0.8208], [0.5553, 0.5553, 0.1792], [0.7783, 0.7783, 0.6534], [0.8889, 0.8889, 0.0132]], "crystal_system": "monoclinic", "vol_a3_per_fu": 186.7, "n_ef_per_ev_atom": 1.595}

---

Which structure wins on stability? arrangement two wins.

---

Arrangement one

{"formula": "Tb5Ho2Er2", "functional": "PBE-GGA", "state": "relaxed", "lattice_angstrom": [[-7.4526, 6.3336, 3.0382], [7.4526, -6.3336, 3.0382], [7.4526, 6.3336, -3.0382]], "species": ["Tb", "Tb", "Tb", "Tb", "Tb", "Tb", "Tb", "Tb", "Tb", "Tb", "Ho", "Ho", "Ho", "Ho", "Er", "Er", "Er", "Er"], "fractional_positions": [[0.1436, 0.4746, 0.9554], [0.1436, 0.6883, 0.1690], [0.2007, 0.0480, 0.2487], [0.2007, 0.4520, 0.6527], [0.5192, 0.1883, 0.0446], [0.5192, 0.9746, 0.8310], [0.5648, 0.4970, 0.5678], [0.7993, 0.5480, 0.3473], [0.7993, 0.9520, 0.7513], [0.9291, 0.9970, 0.4322], [0.2308, 0.0326, 0.6981], [0.3345, 0.5326, 0.3019], [0.4028, 0.4028, 0.0000], [0.4028, 0.9028, 0.5000], [0.7933, 0.2058, 0.3171], [0.7933, 0.9763, 0.0875], [0.8888, 0.4763, 0.6829], [0.8888, 0.7058, 0.9125]], "crystal_system": "orthorhombic", "vol_a3_per_fu": 286.8, "n_ef_per_ev_atom": 1.409}

---

Arrangement two

{"formula": "Tb5Ho2Er2", "functional": "PBE-GGA", "state": "relaxed", "lattice_angstrom": [[7.4988, -2.4955, 0.0000], [7.4988, 2.4955, 0.0000], [-2.5002, 0.0000, 7.4919]], "species": ["Tb", "Tb", "Tb", "Tb", "Tb", "Ho", "Ho", "Er", "Er"], "fractional_positions": [[0.0000, 0.0000, 0.0000], [0.2222, 0.2222, 0.3340], [0.3333, 0.3333, 0.9996], [0.6667, 0.6667, 0.0004], [0.7778, 0.7778, 0.6660], [0.1105, 0.1105, 0.6661], [0.8895, 0.8895, 0.3339], [0.4447, 0.4447, 0.6659], [0.5553, 0.5553, 0.3341]], "crystal_system": "monoclinic", "vol_a3_per_fu": 280.4, "n_ef_per_ev_atom": 1.256}

---

Which structure wins on stability? arrangement two wins.

---

Arrangement one

{"formula": "TbHo12Er7", "functional": "PBE-GGA", "state": "relaxed", "lattice_angstrom": [[6.3404, 3.6606, 4.5017], [-6.3404, 3.6606, 4.5017], [0.0000, -7.3212, 4.5017]], "species": ["Tb", "Ho", "Ho", "Ho", "Ho", "Ho", "Ho", "Ho", "Ho", "Ho", "Ho", "Ho", "Ho", "Er", "Er", "Er", "Er", "Er", "Er", "Er"], "fractional_positions": [[0.0000, 0.0000, 0.0000], [0.1469, 0.4150, 0.4773], [0.1876, 0.7499, 0.3153], [0.2501, 0.6847, 0.8124], [0.3153, 0.1876, 0.7499], [0.4150, 0.4773, 0.1469], [0.4773, 0.1469, 0.4150], [0.5227, 0.8531, 0.5850], [0.5850, 0.5227, 0.8531], [0.6847, 0.8124, 0.2501], [0.7499, 0.3153, 0.1876], [0.8124, 0.2501, 0.6847], [0.8531, 0.5850, 0.5227], [0.0192, 0.0823, 0.3515], [0.0823, 0.3515, 0.0192], [0.3515, 0.0192, 0.0823], [0.5000, 0.5000, 0.5000], [0.6485, 0.9808, 0.9177], [0.9177, 0.6485, 0.9808], [0.9808, 0.9177, 0.6485]], "crystal_system": "trigonal", "vol_a3_per_fu": 626.9, "n_ef_per_ev_atom": 0.894}

---

Arrangement two

{"formula": "TbHo12Er7", "functional": "PBE-GGA", "state": "relaxed", "lattice_angstrom": [[9.1853, 5.3032, 2.2062], [-9.1853, 5.3032, 2.2062], [0.0000, -10.6063, 2.2062]], "species": ["Tb", "Ho", "Ho", "Ho", "Ho", "Ho", "Ho", "Ho", "Ho", "Ho", "Ho", "Ho", "Ho", "Er", "Er", "Er", "Er", "Er", "Er", "Er"], "fractional_positions": [[0.0000, 0.0000, 0.0000], [0.0681, 0.2814, 0.4923], [0.2058, 0.7465, 0.2682], [0.2535, 0.7318, 0.7942], [0.2682, 0.2058, 0.7465], [0.2814, 0.4923, 0.0681], [0.4923, 0.0681, 0.2814], [0.5077, 0.9319, 0.7186], [0.7186, 0.5077, 0.9319], [0.7318, 0.7942, 0.2535], [0.7465, 0.2682, 0.2058], [0.7942, 0.2535, 0.7318], [0.9319, 0.7186, 0.5077], [0.0742, 0.3785, 0.2142], [0.2142, 0.0742, 0.3785], [0.3785, 0.2142, 0.0742], [0.5000, 0.5000, 0.5000], [0.6215, 0.7858, 0.9258], [0.7858, 0.9258, 0.6215], [0.9258, 0.6215, 0.7858]], "crystal_system": "trigonal", "vol_a3_per_fu": 644.8, "n_ef_per_ev_atom": 1.381}

---

Which structure wins on stability? arrangement one wins.

---

Arrangement one

{"formula": "Tb3HoEr", "functional": "PBE-GGA", "state": "relaxed", "lattice_angstrom": [[6.2614, 0.0000, 0.0000], [0.0000, 5.6090, 0.0000], [-3.1290, 0.0000, 9.0402]], "species": ["Tb", "Tb", "Tb", "Tb", "Tb", "Tb", "Ho", "Ho", "Er", "Er"], "fractional_positions": [[0.1329, 0.2500, 0.1000], [0.2678, 0.7500, 0.7010], [0.3333, 0.2500, 0.4999], [0.6667, 0.7500, 0.5001], [0.7322, 0.2500, 0.2990], [0.8671, 0.7500, 0.9000], [0.0657, 0.7500, 0.2994], [0.9343, 0.2500, 0.7006], [0.4663, 0.7500, 0.0993], [0.5337, 0.2500, 0.9007]], "crystal_system": "monoclinic", "vol_a3_per_fu": 158.7, "n_ef_per_ev_atom": 1.600}

---

Arrangement two

{"formula": "Tb3HoEr", "functional": "PBE-GGA", "state": "relaxed", "lattice_angstrom": [[3.5931, 0.0000, 0.0000], [0.0000, 11.5292, 0.0000], [-1.7900, 0.0000, 8.2363]], "species": ["Tb", "Tb", "Tb", "Tb", "Tb", "Tb", "Ho", "Ho", "Er", "Er"], "fractional_positions": [[0.1506, 0.0005, 0.2999], [0.1506, 0.4995, 0.2999], [0.3190, 0.2500, 0.6375], [0.6810, 0.7500, 0.3625], [0.8494, 0.9995, 0.7001], [0.8494, 0.5005, 0.7001], [0.3413, 0.7500, 0.6842], [0.6587, 0.2500, 0.3158], [0.0083, 0.7500, 0.0186], [0.9917, 0.2500, 0.9814]], "crystal_system": "monoclinic", "vol_a3_per_fu": 170.6, "n_ef_per_ev_atom": 1.818}

---

Which structure wins on stability? arrangement one wins.

---

Arrangement one

{"formula": "Tb2HoEr4", "functional": "PBE-GGA", "state": "relaxed", "lattice_angstrom": [[3.5453, 0.0000, 0.0000], [-1.7727, 3.0703, 0.0000], [0.0000, 0.0000, 19.8081]], "species": ["Tb", "Tb", "Ho", "Er", "Er", "Er", "Er"], "fractional_positions": [[0.0000, 0.0000, 0.0000], [0.0000, 0.0000, 0.2858], [0.0000, 0.0000, 0.5704], [0.3333, 0.6667, 0.1427], [0.3333, 0.6667, 0.8558], [0.6667, 0.3333, 0.4290], [0.6667, 0.3333, 0.7132]], "crystal_system": "trigonal", "vol_a3_per_fu": 215.6, "n_ef_per_ev_atom": 1.341}

---

Arrangement two

{"formula": "Tb2HoEr4", "functional": "PBE-GGA", "state": "relaxed", "lattice_angstrom": [[5.9723, 0.0000, 0.0000], [0.0000, 6.5454, 0.0000], [-2.9174, 0.0000, 11.1112]], "species": ["Tb", "Tb", "Tb", "Tb", "Ho", "Ho", "Er", "Er", "Er", "Er", "Er", "Er", "Er", "Er"], "fractional_positions": [[0.0989, 0.2500, 0.4935], [0.3426, 0.7500, 0.0551], [0.6574, 0.2500, 0.9449], [0.9011, 0.7500, 0.5065], [0.4763, 0.7500, 0.6407], [0.5237, 0.2500, 0.3593], [0.1561, 0.0045, 0.7897], [0.1561, 0.4955, 0.7897], [0.2205, 0.2500, 0.0755], [0.3514, 0.7500, 0.3394], [0.6486, 0.2500, 0.6606], [0.7795, 0.7500, 0.9245], [0.8439, 0.5045, 0.2103], [0.8439, 0.9955, 0.2103]], "crystal_system": "monoclinic", "vol_a3_per_fu": 217.2, "n_ef_per_ev_atom": 1.725}

---

Which structure wins on stability? arrangement one wins.